# K2CrCu3F12 | the Alexandria database | PBE+U | relaxed
data_K2CrCu3F12
_symmetry_space_group_name_H-M 'R -3 m'
_symmetry_Int_Tables_number 166
_symmetry_space_group_name_Hall '-R 3 2"'
_cell_length_a 7.2134
_cell_length_b 7.2134
_cell_length_c 18.0536
_cell_angle_alpha 90.00
_cell_angle_beta 90.00
_cell_angle_gamma 120.00
loop_
_atom_site_label
_atom_site_type_symbol
_atom_site_fract_x
_atom_site_fract_y
_atom_site_fract_z
K1 K 0.0000 0.0000 0.1142
Cr1 Cr 0.0000 0.0000 0.5000
Cu1 Cu 0.0000 0.5000 0.0000
F1 F 0.0651 0.5326 0.3571
F2 F 0.0705 0.5353 0.1096
# E in eV/atom: -4.565